Model a:
AcPm2Cd after structural relaxation, computed with GGA-PBE.

The structure in POSCAR format:
```
AcPm2Cd
1.0
1.896 1.095 11.229
-1.896 1.095 11.229
0.000 -2.189 11.229
Ac Pm Cd
1 2 1
Direct
0.000 0.000 0.000
0.240 0.240 0.240
0.427 0.427 0.427
0.834 0.834 0.834
```

Calculated values
- Fermi-level density of states (states/eV/cell) = 4.28

=====

Model b:
AcPm2Cd after structural relaxation, computed with GGA-PBE.

The structure in POSCAR format:
```
AcPm2Cd
1.0
5.821 0.000 0.000
0.000 5.821 0.000
0.000 0.000 3.863
Ac Pm Cd
1 2 1
Direct
0.000 0.000 0.000
0.000 0.500 0.500
0.500 0.000 0.500
0.500 0.500 0.000
```

Calculated values
- Fermi-level density of states (states/eV/cell) = 5.98

=====

Tell me which of them is the most stable. Sure, it is model a.

=====

Model a:
AcTbPmCd after structural relaxation, computed with GGA-PBE.

The structure in POSCAR format:
```
AcTbPmCd
1.0
0.000 4.011 4.011
4.011 0.000 4.011
4.011 4.011 0.000
Ac Tb Pm Cd
1 1 1 1
Direct
0.000 0.000 0.000
0.250 0.250 0.250
0.750 0.750 0.750
0.500 0.500 0.500
```

Calculated values
- Fermi-level density of states (states/eV/cell) = 6.36

=====

Model b:
AcTbPmCd after structural relaxation, computed with GGA-PBE.

The structure in POSCAR format:
```
AcTbPmCd
1.0
3.813 0.000 0.000
0.000 3.813 0.000
0.000 0.000 8.996
Ac Tb Pm Cd
1 1 1 1
Direct
0.000 0.000 0.000
0.500 0.500 0.288
0.500 0.500 0.706
0.000 0.000 0.488
```

Calculated values
- Fermi-level density of states (states/eV/cell) = 5.55

=====

Tell me which of them is the most stable. Sure, it is model b.

=====

Model a:
AcPmTlCd after structural relaxation, computed with GGA-PBE.

The structure in POSCAR format:
```
AcPmTlCd
1.0
3.972 0.000 0.000
0.000 3.972 0.000
0.000 0.000 8.007
Ac Pm Tl Cd
1 1 1 1
Direct
0.000 0.000 0.000
0.000 0.000 0.487
0.500 0.500 0.719
0.500 0.500 0.271
```

Calculated values
- Fermi-level density of states (states/eV/cell) = 5.47

=====

Model b:
AcPmTlCd after structural relaxation, computed with GGA-PBE.

The structure in POSCAR format:
```
AcPmTlCd
1.0
0.000 3.992 3.992
3.992 0.000 3.992
3.992 3.992 0.000
Ac Pm Tl Cd
1 1 1 1
Direct
0.000 0.000 0.000
0.500 0.500 0.500
0.250 0.250 0.250
0.750 0.750 0.750
```

Calculated values
- Fermi-level density of states (states/eV/cell) = 5.21

=====

Tell me which of them is the most stable. Sure, it is model a.

=====

Model a:
AcPmZnCd after structural relaxation, computed with GGA-PBE.

The structure in POSCAR format:
```
AcPmZnCd
1.0
0.000 3.882 3.882
3.882 0.000 3.882
3.882 3.882 0.000
Ac Pm Zn Cd
1 1 1 1
Direct
0.000 0.000 0.000
0.500 0.500 0.500
0.250 0.250 0.250
0.750 0.750 0.750
```

Calculated values
- Fermi-level density of states (states/eV/cell) = 4.91

=====

Model b:
AcPmZnCd after structural relaxation, computed with GGA-PBE.

The structure in POSCAR format:
```
AcPmZnCd
1.0
3.841 0.000 0.000
0.000 3.841 0.000
0.000 0.000 7.833
Ac Pm Zn Cd
1 1 1 1
Direct
0.000 0.000 0.000
0.000 0.000 0.465
0.500 0.500 0.260
0.500 0.500 0.709
```

Calculated values
- Fermi-level density of states (states/eV/cell) = 4.86

=====

Tell me which of them is the most stable. Sure, it is model b.

=====

Model a:
Ac3PrCd after structural relaxation, computed with GGA-PBE.

The structure in POSCAR format:
```
Ac3PrCd
1.0
12.156 -1.949 0.000
12.156 1.949 0.000
-2.196 0.000 8.400
Ac Pr Cd
6 2 2
Direct
0.013 0.013 0.247
0.175 0.175 0.464
0.380 0.380 0.968
0.620 0.620 0.032
0.825 0.825 0.536
0.987 0.987 0.753
0.258 0.258 0.170
0.742 0.742 0.830
0.418 0.418 0.393
0.582 0.582 0.607
```

Calculated values
- Fermi-level density of states (states/eV/cell) = 12.35

=====

Model b:
Ac3PrCd after structural relaxation, computed with GGA-PBE.

The structure in POSCAR format:
```
Ac3PrCd
1.0
10.410 0.000 0.000
0.000 7.438 0.000
-7.320 0.000 10.199
Ac Pr Cd
12 4 4
Direct
0.043 0.108 0.309
0.043 0.392 0.809
0.347 0.159 0.736
0.347 0.341 0.236
0.371 0.673 0.879
0.371 0.827 0.379
0.629 0.173 0.621
0.629 0.327 0.121
0.653 0.659 0.764
0.653 0.841 0.264
0.957 0.608 0.191
0.957 0.892 0.691
0.097 0.728 0.518
0.097 0.772 0.018
0.903 0.228 0.982
0.903 0.272 0.482
0.307 0.059 0.999
0.307 0.441 0.499
0.693 0.559 0.501
0.693 0.941 0.001
```

Calculated values
- Fermi-level density of states (states/eV/cell) = 27.72

=====

Tell me which of them is the most stable. Sure, it is model a.

=====

Model a:
AcPr2Cd after structural relaxation, computed with GGA-PBE.

The structure in POSCAR format:
```
AcPr2Cd
1.0
5.103 0.000 0.000
0.000 5.103 0.000
0.000 0.000 5.213
Ac Pr Cd
1 2 1
Direct
0.000 0.000 0.000
0.000 0.500 0.500
0.500 0.000 0.500
0.500 0.500 0.000
```

Calculated values
- Fermi-level density of states (states/eV/cell) = 6.89

=====

Model b:
AcPr2Cd after structural relaxation, computed with GGA-PBE.

The structure in POSCAR format:
```
AcPr2Cd
1.0
0.000 4.077 4.077
4.077 0.000 4.077
4.077 4.077 0.000
Ac Pr Cd
1 2 1
Direct
0.000 0.000 0.000
0.250 0.250 0.250
0.750 0.750 0.750
0.500 0.500 0.500
```

Calculated values
- Fermi-level density of states (states/eV/cell) = 5.24

=====

Tell me which of them is the most stable. Sure, it is model a.